Below is a relaxed structure of HI2Cl, with properties calculated at the PBE level.

Unit cell a=5.8185 b=5.8185 c=13.7077 alpha=90.00 beta=90.00 gamma=90.00
Closest atoms and distances in Å follow each position.
Space group I-42d (No. 122)
Inequivalent atoms, fractional coordinates:
H 0.0000 0.0000 0.0000 (multiplicity 4)  4 I 2.30
I 0.0800 0.2500 0.1250 (multiplicity 8)  2 H 2.30
Cl 0.0000 0.0000 0.5000 (multiplicity 4)  4 I 3.32

## Properties
- VASP energy (eV/atom) = -1.586
- spin magnetization (Bohr magnetons per cell) = 0.00

Below is a relaxed structure of HICl4, with properties calculated at the PBE level.

Unit cell a=7.5211 b=7.8368 c=8.0071 alpha=94.96 beta=105.96 gamma=94.77
Closest atoms and distances in Å follow each position.
Space group P-1 (No. 2)
Inequivalent atoms, fractional coordinates:
H 0.0975 0.3075 0.4936 (multiplicity 2)  1 Cl 1.30
I 0.4931 0.8296 0.1726 (multiplicity 2)  3 Cl 2.39-2.67
Cl 0.0266 0.7551 0.6517 (multiplicity 2)  1 H 1.30
Cl 0.3103 0.7882 0.3707 (multiplicity 2)  1 I 2.39
Cl 0.3140 0.0983 0.0639 (multiplicity 2)  2 I 2.67-2.75
Cl 0.3268 0.4115 0.7512 (multiplicity 2)  1 H 2.33, 1 I 2.44

## Properties
- VASP energy (eV/atom) = -2.347
- spin magnetization (Bohr magnetons per cell) = 0.00

Below is a relaxed structure of H2ICl, with properties calculated at the PBE level.

Unit cell a=5.1604 b=5.1604 c=10.9208 alpha=90.00 beta=90.00 gamma=90.00
Closest atoms and distances in Å follow each position.
Space group I-42d (No. 122)
Inequivalent atoms, fractional coordinates:
H 0.0300 0.2500 0.1250 (multiplicity 8)  2 I 1.88
I 0.0000 0.0000 0.0000 (multiplicity 4)  4 H 1.88
Cl 0.0000 0.0000 0.5000 (multiplicity 4)  8 H 3.07-3.32

## Properties
- VASP energy (eV/atom) = -2.173
- spin magnetization (Bohr magnetons per cell) = 0.00

Below is a relaxed structure of HICl2, with properties calculated at the PBE level.

Unit cell a=3.9507 b=3.9507 c=23.7593 alpha=90.00 beta=90.00 gamma=120.00
Closest atoms and distances in Å follow each position.
Space group R-3m (No. 166, hexagonal axes)
Inequivalent atoms, fractional coordinates:
H 0.0000 0.0000 0.0000 (multiplicity 3)  2 Cl 1.55
I 0.0000 0.0000 0.5000 (multiplicity 3)  6 Cl 3.32
Cl 0.0000 0.0000 0.0653 (multiplicity 6)  1 H 1.55

## Properties
- VASP energy (eV/atom) = -2.057
- spin magnetization (Bohr magnetons per cell) = 5.65

Below is a relaxed structure of HI2Cl, with properties calculated at the PBE level.

Unit cell a=5.0206 b=5.9538 c=5.9721 alpha=97.85 beta=111.97 gamma=111.88
Closest atoms and distances in Å follow each position.
Space group P-1 (No. 2)
Inequivalent atoms, fractional coordinates:
H 0.0000 0.0000 0.0000 (multiplicity 1)  2 I 1.94
I 0.1600 0.8260 0.8259 (multiplicity 2)  1 H 1.94
Cl 0.5000 0.5000 0.5000 (multiplicity 1)  2 I 2.81

## Properties
- VASP energy (eV/atom) = -2.086
- spin magnetization (Bohr magnetons per cell) = 0.00

Below is a relaxed structure of H3ICl, with properties calculated at the PBE level.

Unit cell a=3.9450 b=3.9450 c=3.9450 alpha=90.00 beta=90.00 gamma=90.00
Closest atoms and distances in Å follow each position.
Space group Pm-3m (No. 221)
Inequivalent atoms, fractional coordinates:
H 0.0000 0.0000 0.5000 (multiplicity 3)  2 Cl 1.97
I 0.5000 0.5000 0.5000 (multiplicity 1)  12 H 2.79
Cl 0.0000 0.0000 0.0000 (multiplicity 1)  6 H 1.97

## Properties
- VASP energy (eV/atom) = -1.771
- spin magnetization (Bohr magnetons per cell) = 0.00

Below is a relaxed structure of H3ICl, with properties calculated at the PBE level.

Unit cell a=4.7624 b=7.7464 c=8.3456 alpha=90.00 beta=100.35 gamma=90.00
Closest atoms and distances in Å follow each position.
Space group P2_1/m (No. 11)
Inequivalent atoms, fractional coordinates:
H 0.0908 0.2500 0.4639 (multiplicity 2)  1 H 0.75
H 0.2400 0.2500 0.4461 (multiplicity 2)  1 H 0.75
H 0.3399 0.2500 0.0238 (multiplicity 2)  1 Cl 1.34
I 0.0983 0.7500 0.1630 (multiplicity 2)  1 H 2.37
Cl 0.4084 0.7500 0.8734 (multiplicity 2)  1 H 1.34

## Properties
- VASP energy (eV/atom) = -2.703
- spin magnetization (Bohr magnetons per cell) = 2.02

Below is a relaxed structure of HICl, with properties calculated at the PBE level.

Unit cell a=10.3606 b=4.8950 c=8.5337 alpha=90.00 beta=110.08 gamma=90.00
Closest atoms and distances in Å follow each position.
Space group P2_1/c (No. 14)
Inequivalent atoms, fractional coordinates:
H 0.2238 0.2220 0.1605 (multiplicity 4)  1 I 1.66
I 0.3291 0.0141 0.7299 (multiplicity 4)  1 H 1.66
Cl 0.0868 0.6301 0.5612 (multiplicity 4)  1 Cl 2.16, 1 H 2.21

## Properties
- VASP energy (eV/atom) = -2.264
- spin magnetization (Bohr magnetons per cell) = 0.00

Below is a relaxed structure of H2ICl, with properties calculated at the PBE level.

Unit cell a=6.1583 b=6.1583 c=6.1583 alpha=90.00 beta=90.00 gamma=90.00
Closest atoms and distances in Å follow each position.
Space group Fm-3m (No. 225)
Inequivalent atoms, fractional coordinates:
H 0.2500 0.2500 0.2500 (multiplicity 8)  4 Cl 2.67, 4 I 2.67
I 0.0000 0.0000 0.0000 (multiplicity 4)  8 H 2.67
Cl 0.0000 0.0000 0.5000 (multiplicity 4)  8 H 2.67

## Properties
- VASP energy (eV/atom) = -1.357
- spin magnetization (Bohr magnetons per cell) = 0.00

Below is a relaxed structure of HI6Cl2, with properties calculated at the PBE level.

Unit cell a=23.8559 b=4.0416 c=7.4918 alpha=90.00 beta=93.39 gamma=90.00
Closest atoms and distances in Å follow each position.
Space group C2/m (No. 12)
Inequivalent atoms, fractional coordinates:
H 0.0000 0.0000 0.0000 (multiplicity 2)  4 Cl 2.58
I 0.0892 0.0000 0.6175 (multiplicity 4)  2 Cl 2.89, 2 I 3.02
I 0.1457 0.5000 0.3875 (multiplicity 4)  4 I 3.02-3.17
I 0.2094 0.0000 0.1440 (multiplicity 4)  2 I 3.17
Cl 0.0378 0.5000 0.8295 (multiplicity 4)  2 H 2.58, 2 I 2.89

## Properties
- VASP energy (eV/atom) = -1.499
- spin magnetization (Bohr magnetons per cell) = 1.83

Below is a relaxed structure of HICl2, with properties calculated at the PBE level.

Unit cell a=6.5574 b=8.4921 c=5.5359 alpha=90.00 beta=95.91 gamma=90.00
Closest atoms and distances in Å follow each position.
Space group Cm (No. 8)
Inequivalent atoms, fractional coordinates:
H 0.0000 0.0000 0.0000 (multiplicity 2)  1 Cl 1.35
I 0.4895 0.0000 0.9369 (multiplicity 2)  1 Cl 2.44
Cl 0.1415 0.0000 0.1960 (multiplicity 2)  1 H 1.35
Cl 0.2929 0.5000 0.7175 (multiplicity 2)  1 H 1.96

## Properties
- VASP energy (eV/atom) = -2.443
- spin magnetization (Bohr magnetons per cell) = 0.00

Below is a relaxed structure of H2ICl, with properties calculated at the PBE level.

Unit cell a=14.7838 b=3.6731 c=8.5873 alpha=90.00 beta=90.36 gamma=90.00
Closest atoms and distances in Å follow each position.
Space group C2/m (No. 12)
Inequivalent atoms, fractional coordinates:
H 0.1106 0.0000 0.2150 (multiplicity 4)  2 I 1.94
H 0.2009 0.0000 0.6926 (multiplicity 4)  1 Cl 1.30
I 0.1334 0.5000 0.1552 (multiplicity 4)  2 H 1.94
Cl 0.1204 0.0000 0.6316 (multiplicity 4)  1 H 1.30

## Properties
- VASP energy (eV/atom) = -2.674
- spin magnetization (Bohr magnetons per cell) = 0.00

Below is a relaxed structure of H2ICl, with properties calculated at the PBE level.

Unit cell a=4.7567 b=4.7882 c=5.7161 alpha=91.13 beta=90.50 gamma=107.60
Closest atoms and distances in Å follow each position.
Space group P1 (No. 1)
Inequivalent atoms, fractional coordinates:
H 0.0000 0.0000 0.0000 (multiplicity 1)  1 I 1.65
H 0.1193 0.1162 0.4799 (multiplicity 1)  1 Cl 1.31
I 0.7961 0.7965 0.7889 (multiplicity 1)  1 H 1.65
Cl 0.2857 0.2808 0.3217 (multiplicity 1)  1 H 1.31

## Properties
- VASP energy (eV/atom) = -2.782
- spin magnetization (Bohr magnetons per cell) = 0.00